# 1
Tb12Mn3H5, optimized geometry, DFT PBE-GGA; VASP energy = -5.034 eV per atom; magnetization = 4.4 μB per formula unit
1.0
13.143 0.000 0.000
-4.381 12.391 0.000
-4.381 -6.196 10.731
Tb Mn H
48 12 20
direct
0.593 0.879 0.404 Tb
0.407 0.121 0.596 Tb
0.904 0.811 0.525 Tb
0.879 0.286 0.475 Tb
0.596 0.621 0.407 Tb
0.811 0.907 0.286 Tb
0.096 0.907 0.121 Tb
0.404 0.379 0.593 Tb
0.596 0.975 0.689 Tb
0.379 0.975 0.786 Tb
0.907 0.096 0.621 Tb
0.189 0.096 0.975 Tb
0.621 0.596 0.907 Tb
0.525 0.214 0.121 Tb
0.286 0.879 0.975 Tb
0.475 0.786 0.879 Tb
0.311 0.525 0.404 Tb
0.311 0.786 0.407 Tb
0.214 0.689 0.093 Tb
0.975 0.379 0.286 Tb
0.025 0.404 0.811 Tb
0.714 0.121 0.025 Tb
0.121 0.714 0.525 Tb
0.096 0.189 0.475 Tb
0.904 0.093 0.879 Tb
0.621 0.025 0.214 Tb
0.786 0.311 0.907 Tb
0.214 0.525 0.621 Tb
0.407 0.286 0.311 Tb
0.189 0.093 0.714 Tb
0.786 0.475 0.379 Tb
0.404 0.025 0.311 Tb
0.093 0.189 0.214 Tb
0.689 0.475 0.596 Tb
0.593 0.714 0.689 Tb
0.975 0.596 0.189 Tb
0.907 0.811 0.786 Tb
0.475 0.689 0.096 Tb
0.379 0.404 0.093 Tb
0.093 0.904 0.379 Tb
0.714 0.593 0.189 Tb
0.811 0.904 0.025 Tb
0.025 0.621 0.714 Tb
0.879 0.593 0.904 Tb
0.286 0.407 0.811 Tb
0.525 0.311 0.904 Tb
0.121 0.407 0.096 Tb
0.689 0.214 0.593 Tb
0.625 0.250 0.375 Mn
0.625 0.375 0.750 Mn
0.125 0.250 0.875 Mn
0.375 0.625 0.250 Mn
0.750 0.875 0.625 Mn
0.875 0.750 0.125 Mn
0.875 0.125 0.250 Mn
0.750 0.375 0.125 Mn
0.250 0.125 0.375 Mn
0.375 0.750 0.625 Mn
0.125 0.875 0.750 Mn
0.250 0.625 0.875 Mn
0.625 0.875 0.250 H
0.000 0.000 0.000 H
0.500 0.500 0.500 H
0.125 0.750 0.375 H
0.500 0.000 0.500 H
0.875 0.625 0.750 H
0.750 0.125 0.875 H
0.375 0.125 0.750 H
0.000 0.500 0.000 H
0.250 0.875 0.125 H
0.125 0.375 0.250 H
0.000 0.500 0.500 H
0.625 0.750 0.875 H
0.375 0.250 0.125 H
0.500 0.000 0.000 H
0.875 0.250 0.625 H
0.750 0.625 0.375 H
0.500 0.500 0.000 H
0.000 0.000 0.500 H
0.250 0.375 0.625 H

***

# 2
RbCdHg2, optimized geometry, DFT PBE-GGA; energy relative to the elements = -0.094 eV/atom; magnetization = 0.0 μB per formula unit
1.0
4.836 0.000 0.000
0.000 5.314 0.000
0.000 0.000 5.314
Cd Rb Hg
1 1 2
direct
0.500 0.500 0.500 Cd
0.500 0.000 0.000 Rb
0.000 0.000 0.500 Hg
0.000 0.500 0.000 Hg

***

What did we get for D(E_F)? Answer: 1.136 0.435 states/eV/atom, in the order shown.